ZrPtN3 after structural relaxation, computed with GGA-PBEsol.

It has space group Pm-3m (No. 221), with a = 4.136 Å, b = 4.136 Å, c = 4.136 Å, α = 90.00°, β = 90.00° and γ = 90.00°. Symmetry generates all atoms from Zr at (0.000, 0.000, 0.000), Pt at (0.500, 0.500, 0.500) and N at (0.000, 0.000, 0.500).

As for the uncorrected formation energy: 1.29 eV per atom. The value obtained for the total energy is -7.036 eV per atom.